(1)
# CePaPdS4, optimized geometry, DFT PBE-GGA
data_CePaPdS4
_space_group_name_H-M_alt 'P 1'
_space_group_IT_number 1
_space_group_name_Hall 'P 1'
_cell_length_a 6.431
_cell_length_b 6.290
_cell_length_c 7.647
_cell_angle_alpha 90.00
_cell_angle_beta 106.78
_cell_angle_gamma 90.00
loop_
_atom_site_label
_atom_site_fract_x
_atom_site_fract_y
_atom_site_fract_z
_atom_site_occupancy
S1 0.033 0.519 0.745 1
Ce1 0.223 0.250 0.052 1
S2 0.467 0.750 0.623 1
Pd1 0.762 0.250 0.679 1
S3 0.461 0.750 0.119 1
S4 0.033 0.981 0.745 1
Ce2 0.777 0.750 0.948 1
S5 0.533 0.250 0.377 1
S6 0.967 0.019 0.255 1
S7 0.539 0.250 0.881 1
S8 0.967 0.481 0.255 1
Pd2 0.238 0.750 0.321 1
Pa1 0.769 0.750 0.443 1
Pa2 0.231 0.250 0.557 1
# E_form (uncorrected) in meV per atom: -1422


(2)
# BePPb2, optimized geometry, DFT PBE-GGA
data_BePPb2
_space_group_name_H-M_alt 'P 1'
_space_group_IT_number 1
_space_group_name_Hall 'P 1'
_cell_length_a 8.391
_cell_length_b 8.391
_cell_length_c 8.391
_cell_angle_alpha 24.97
_cell_angle_beta 24.97
_cell_angle_gamma 24.97
loop_
_atom_site_label
_atom_site_fract_x
_atom_site_fract_y
_atom_site_fract_z
_atom_site_occupancy
Pb1 0.020 0.020 0.020 1
Be1 0.460 0.460 0.460 1
Pb2 0.229 0.229 0.229 1
P1 0.791 0.791 0.791 1
# Formation enthalpy at 0 K in eV per atom: -0.01


(3)
# Nd2Ho6Tm, optimized geometry, DFT PBE-GGA
data_Nd2Ho6Tm
_space_group_name_H-M_alt 'P 1'
_space_group_IT_number 1
_space_group_name_Hall 'P 1'
_cell_length_a 6.388
_cell_length_b 10.115
_cell_length_c 10.115
_cell_angle_alpha 88.76
_cell_angle_beta 71.01
_cell_angle_gamma 71.01
loop_
_atom_site_label
_atom_site_fract_x
_atom_site_fract_y
_atom_site_fract_z
_atom_site_occupancy
Nd1 0.165 0.612 0.687 1
Ho1 0.583 0.258 0.633 1
Ho2 0.810 0.948 0.800 1
Ho3 0.211 0.038 0.556 1
Ho4 0.083 0.633 0.258 1
Tm1 0.250 0.129 0.871 1
Ho5 0.690 0.200 0.052 1
Nd2 0.835 0.388 0.313 1
Ho6 0.789 0.962 0.444 1
Ho7 0.190 0.052 0.200 1
Ho8 0.917 0.367 0.742 1
Tm2 0.750 0.871 0.129 1
Ho9 0.417 0.742 0.367 1
Ho10 0.310 0.800 0.948 1
Nd3 0.335 0.313 0.388 1
Nd4 0.665 0.687 0.612 1
Ho11 0.711 0.556 0.038 1
Ho12 0.289 0.444 0.962 1
# Formation enthalpy at 0 K in eV per atom: 0.21


Number 1: calculated total energy -94.2 eV for the cell shown. Number 2: calculated total energy -16.6 eV for the cell shown. Number 3: calculated total energy -79.2 eV for the cell shown.